# ScAgPd2 (PBE, relaxed)
# - Crystal system: cubic
# - DFT total energy: -87.99 eV/cell
# - Theoretical density: 8.89 g cm⁻³
# - Formation energy from the elements: -58.6 kJ per mole of atoms
# - Relative energy among the computed polymorphs: 0.059 eV per atom
data_ScAgPd2
_space_group_name_H-M_alt 'F m -3 m'
_space_group_IT_number 225
_space_group_name_Hall '-F 4 2 3'
_cell_length_a 6.488
_cell_length_b 6.488
_cell_length_c 6.488
_cell_angle_alpha 90.00
_cell_angle_beta 90.00
_cell_angle_gamma 90.00
loop_
_atom_site_label
_atom_site_type_symbol
_atom_site_fract_x
_atom_site_fract_y
_atom_site_fract_z
Sc1 Sc 0.000 0.000 0.000
Ag1 Ag 0.000 0.000 0.500
Pd1 Pd 0.250 0.250 0.250

# Cd2TcNi (PBE, relaxed)
# - Crystal system: tetragonal
# - DFT total energy: -32.47 eV/cell
# - Theoretical density: 9.49 g cm⁻³
# - Formation energy from the elements: 42.0 kJ per mole of atoms
# - Relative energy among the computed polymorphs: 0.264 eV per atom
data_Cd2TcNi
_space_group_name_H-M_alt 'I -4 m 2'
_space_group_IT_number 119
_space_group_name_Hall 'I -4 -2'
_cell_length_a 4.209
_cell_length_b 4.209
_cell_length_c 7.540
_cell_angle_alpha 90.00
_cell_angle_beta 90.00
_cell_angle_gamma 90.00
loop_
_atom_site_label
_atom_site_type_symbol
_atom_site_fract_x
_atom_site_fract_y
_atom_site_fract_z
Cd1 Cd 0.000 0.000 0.000
Cd2 Cd 0.000 0.500 0.250
Tc1 Tc 0.000 0.000 0.500
Ni1 Ni 0.000 0.500 0.750

# Tl2CuF4 (PBE, relaxed)
# - Crystal system: tetragonal
# - DFT total energy: -56.37 eV/cell
# - Theoretical density: 7.44 g cm⁻³
# - Energy relative to the elements, uncorrected: -1.696 eV/atom
# - Relative energy among the computed polymorphs: 0.000 eV per atom
data_Tl2CuF4
_space_group_name_H-M_alt 'I 4/m m m'
_space_group_IT_number 139
_space_group_name_Hall '-I 4 2'
_cell_length_a 4.193
_cell_length_b 4.193
_cell_length_c 13.922
_cell_angle_alpha 90.00
_cell_angle_beta 90.00
_cell_angle_gamma 90.00
loop_
_atom_site_label
_atom_site_type_symbol
_atom_site_fract_x
_atom_site_fract_y
_atom_site_fract_z
Tl1 Tl 0.000 0.000 0.145
Cu1 Cu 0.000 0.000 0.500
F1 F 0.000 0.000 0.359
F2 F 0.000 0.500 0.000

# Li2ZrIn (PBE, relaxed)
# - Crystal system: tetragonal
# - DFT total energy: -30.56 eV/cell
# - Theoretical density: 4.64 g cm⁻³
# - Formation energy from the elements: -4.1 kJ per mole of atoms
data_Li2ZrIn
_space_group_name_H-M_alt 'I -4 m 2'
_space_group_IT_number 119
_space_group_name_Hall 'I -4 -2'
_cell_length_a 4.805
_cell_length_b 4.805
_cell_length_c 6.823
_cell_angle_alpha 90.00
_cell_angle_beta 90.00
_cell_angle_gamma 90.00
loop_
_atom_site_label
_atom_site_type_symbol
_atom_site_fract_x
_atom_site_fract_y
_atom_site_fract_z
Li1 Li 0.000 0.000 0.000
Li2 Li 0.000 0.500 0.250
Zr1 Zr 0.000 0.500 0.750
In1 In 0.000 0.000 0.500

# SmPu3Sb4 (PBE, relaxed)
# - Crystal system: monoclinic
# - DFT total energy: -140.15 eV/cell
# - Theoretical density: 9.21 g cm⁻³
# - Energy relative to the elements, uncorrected: -0.734 eV/atom
data_SmPu3Sb4
_space_group_name_H-M_alt 'P 1 2/c 1'
_space_group_IT_number 13
_space_group_name_Hall '-P 2yc'
_cell_length_a 7.680
_cell_length_b 8.875
_cell_length_c 7.683
_cell_angle_alpha 90.00
_cell_angle_beta 109.49
_cell_angle_gamma 90.00
loop_
_atom_site_label
_atom_site_type_symbol
_atom_site_fract_x
_atom_site_fract_y
_atom_site_fract_z
Sm1 Sm 0.000 0.124 0.250
Pu1 Pu 0.000 0.375 0.750
Pu2 Pu 0.500 0.125 0.750
Pu3 Pu 0.500 0.375 0.250
Sb1 Sb 0.251 0.376 0.502
Sb2 Sb 0.254 0.127 0.000

# LiThAg2 (PBE, relaxed)
# - Crystal system: trigonal
# - DFT total energy: -45.99 eV/cell
# - Theoretical density: 8.46 g cm⁻³
# - Formation energy from the elements: -7.1 kJ per mole of atoms
# - Relative energy among the computed polymorphs: 0.039 eV per atom
data_LiThAg2
_space_group_name_H-M_alt 'R -3 m'
_space_group_IT_number 166
_space_group_name_Hall '-R 3 2"'
_cell_length_a 4.6396
_cell_length_b 4.6396
_cell_length_c 14.3634
_cell_angle_alpha 90.00
_cell_angle_beta 90.00
_cell_angle_gamma 120.00
loop_
_atom_site_label
_atom_site_type_symbol
_atom_site_fract_x
_atom_site_fract_y
_atom_site_fract_z
Li1 Li 0.0000 0.0000 0.0000
Th1 Th 0.0000 0.0000 0.5000
Ag1 Ag 0.0000 0.0000 0.2833

# LaNbN3 (PBE, relaxed)
# - Crystal system: monoclinic
# - DFT total energy: -180.34 eV/cell
# - Theoretical density: 5.97 g cm⁻³
# - Energy relative to the elements, uncorrected: -1.022 eV/atom
data_LaNbN3
_space_group_name_H-M_alt 'C 1 2/m 1'
_space_group_IT_number 12
_space_group_name_Hall '-C 2y'
_cell_length_a 12.116
_cell_length_b 4.035
_cell_length_c 6.477
_cell_angle_alpha 90.00
_cell_angle_beta 105.91
_cell_angle_gamma 90.00
loop_
_atom_site_label
_atom_site_type_symbol
_atom_site_fract_x
_atom_site_fract_y
_atom_site_fract_z
La1 La 0.119 0.000 0.330
Nb1 Nb 0.152 0.500 0.875
N1 N 0.021 0.500 0.116
N2 N 0.164 0.500 0.589
N3 N 0.168 0.000 0.975

# Th2BeTcN5 (PBE, relaxed)
# - Crystal system: orthorhombic
# - DFT total energy: -316.13 eV/cell
# - Theoretical density: 9.64 g cm⁻³
# - Energy relative to the elements, uncorrected: -0.942 eV/atom
data_Th2BeTcN5
_space_group_name_H-M_alt 'C m c 21'
_space_group_IT_number 36
_space_group_name_Hall 'C 2c -2'
_cell_length_a 3.403
_cell_length_b 13.389
_cell_length_c 9.698
_cell_angle_alpha 90.00
_cell_angle_beta 90.00
_cell_angle_gamma 90.00
loop_
_atom_site_label
_atom_site_type_symbol
_atom_site_fract_x
_atom_site_fract_y
_atom_site_fract_z
Th1 Th 0.000 0.123 0.000
Th2 Th 0.000 0.129 0.624
Be1 Be 0.000 0.441 0.739
Tc1 Tc 0.000 0.190 0.322
N1 N 0.000 0.046 0.313
N2 N 0.000 0.302 0.959
N3 N 0.000 0.312 0.679
N4 N 0.000 0.340 0.318
N5 N 0.000 0.500 0.084

# Tl3ReS (PBE, relaxed)
# - Crystal system: cubic
# - DFT total energy: -19.49 eV/cell
# - Theoretical density: 8.99 g cm⁻³
# - Energy relative to the elements, uncorrected: 0.837 eV/atom
# - Relative energy among the computed polymorphs: 0.000 eV per atom
data_Tl3ReS
_space_group_name_H-M_alt 'P m -3 m'
_space_group_IT_number 221
_space_group_name_Hall '-P 4 2 3'
_cell_length_a 5.355
_cell_length_b 5.355
_cell_length_c 5.355
_cell_angle_alpha 90.00
_cell_angle_beta 90.00
_cell_angle_gamma 90.00
loop_
_atom_site_label
_atom_site_type_symbol
_atom_site_fract_x
_atom_site_fract_y
_atom_site_fract_z
Tl1 Tl 0.000 0.000 0.500
Re1 Re 0.000 0.000 0.000
S1 S 0.500 0.500 0.500

# YTmH (PBE, relaxed)
# - Crystal system: tetragonal
# - DFT total energy: -29.24 eV/cell
# - Theoretical density: 6.43 g cm⁻³
# - Relative energy among the computed polymorphs: 0.193 eV per atom
data_YTmH
_space_group_name_H-M_alt 'I 4 m m'
_space_group_IT_number 107
_space_group_name_Hall 'I 4 -2'
_cell_length_a 3.329
_cell_length_b 3.329
_cell_length_c 12.074
_cell_angle_alpha 90.00
_cell_angle_beta 90.00
_cell_angle_gamma 90.00
loop_
_atom_site_label
_atom_site_type_symbol
_atom_site_fract_x
_atom_site_fract_y
_atom_site_fract_z
Y1 Y 0.000 0.000 0.000
Tm1 Tm 0.000 0.000 0.291
H1 H 0.000 0.000 0.473

# Ir2OsRu (PBE, relaxed)
# - Crystal system: monoclinic
# - DFT total energy: -76.42 eV/cell
# - Theoretical density: 19.62 g cm⁻³
# - Formation energy from the elements: 0.4 kJ per mole of atoms
# - Relative energy among the computed polymorphs: 0.000 eV per atom
data_Ir2OsRu
_space_group_name_H-M_alt 'C 1 m 1'
_space_group_IT_number 8
_space_group_name_Hall 'C -2y'
_cell_length_a 9.046
_cell_length_b 2.719
_cell_length_c 4.720
_cell_angle_alpha 90.00
_cell_angle_beta 99.85
_cell_angle_gamma 90.00
loop_
_atom_site_label
_atom_site_type_symbol
_atom_site_fract_x
_atom_site_fract_y
_atom_site_fract_z
Ir1 Ir 0.000 0.000 0.000
Ir2 Ir 0.248 0.000 0.743
Os1 Os 0.499 0.000 0.496
Ru1 Ru 0.250 0.500 0.248

# YErTm (PBE, relaxed)
# - Crystal system: orthorhombic
# - DFT total energy: -53.18 eV/cell
# - Theoretical density: 6.31 g cm⁻³
# - Formation energy from the elements: 70.9 kJ per mole of atoms
# - Relative energy among the computed polymorphs: 0.707 eV per atom
data_YErTm
_space_group_name_H-M_alt 'C m m m'
_space_group_IT_number 65
_space_group_name_Hall '-C 2 2'
_cell_length_a 11.427
_cell_length_b 11.520
_cell_length_c 3.397
_cell_angle_alpha 90.00
_cell_angle_beta 90.00
_cell_angle_gamma 90.00
loop_
_atom_site_label
_atom_site_type_symbol
_atom_site_fract_x
_atom_site_fract_y
_atom_site_fract_z
Y1 Y 0.000 0.239 0.000
Er1 Er 0.000 0.000 0.500
Er2 Er 0.000 0.500 0.000
Tm1 Tm 0.238 0.500 0.500